Li12Au17: PBEsol geometry, meta-GGA SCAN.

Cell: 8.307 8.307 8.307 Å, 109.47 109.47 109.47°
Fractional coordinates of all 29 atoms:
1 Au 0.313 0.000 0.599
2 Li 0.803 0.000 0.623
3 Au 0.687 0.286 0.687
4 Au 0.000 0.000 0.000
5 Li 0.000 0.623 0.803
6 Au 0.000 0.599 0.313
7 Li 0.623 0.803 0.000
8 Au 0.313 0.599 0.000
9 Li 0.820 0.197 0.197
10 Au 0.401 0.401 0.714
11 Au 0.000 0.313 0.599
12 Li 0.180 0.377 0.377
13 Li 0.803 0.623 0.000
14 Li 0.377 0.180 0.377
15 Au 0.687 0.687 0.286
16 Li 0.623 0.000 0.803
17 Au 0.599 0.313 0.000
18 Au 0.286 0.687 0.687
19 Au 0.599 0.000 0.313
20 Au 0.401 0.714 0.401
21 Au 0.000 0.000 0.333
22 Au 0.000 0.333 0.000
23 Au 0.667 0.667 0.667
24 Li 0.197 0.197 0.820
25 Li 0.197 0.820 0.197
26 Li 0.377 0.377 0.180
27 Au 0.333 0.000 0.000
28 Li 0.000 0.803 0.623
29 Au 0.714 0.401 0.401

Values from the calculation:
N(E_F) (states/eV/f.u.): 9.86
Formation energy from the elements (kJ/mol of atoms): -43.34